The following is a GGA-PBE calculation of a relaxed structure of Ac2LaNpO8, from the Alexandria database.

Values from the calculation:
For the formation energy without anion corrections, the calculation gives -3.152 eV per atom. The theoretical density is 8.4 g cm⁻³. The calculated volume is 189.0 Å³/f.u. Its space group is No. 10. The total magnetization comes out at 0.00 μB per formula unit.

a = 4.167 Å, b = 5.788 Å, c = 7.871 Å
α = 90.00°, β = 90.00°, γ = 95.50°
Fractional coordinates of all 12 atoms:
Ac  0.500  0.500  0.750
Ac  0.500  0.500  0.250
La  0.000  0.000  0.500
Np  0.000  0.000  0.000
O  0.046  0.777  0.209
O  0.581  0.797  0.000
O  0.954  0.223  0.209
O  0.954  0.223  0.791
O  0.419  0.203  0.000
O  0.046  0.777  0.791
O  0.512  0.750  0.500
O  0.488  0.250  0.500